{
  "formula": "Cu2Pd15Pb2",
  "functional": "GGA-PBE",
  "state": "relaxed",
  "e_form_ev_per_atom": 0.036,
  "sg": "R-3m",
  "total_energy_ev_per_atom": -4.89,
  "rho_g_cm3": 10.83,
  "n_ef_per_ev_atom": 1.106,
  "cell": [[-4.129, 0.372, -5.612], [-5.933, -2.343, 2.827], [-3.100, 6.113, 1.304]],
  "species": ["Cu", "Cu", "Pd", "Pd", "Pd", "Pd", "Pd", "Pd", "Pd", "Pd", "Pd", "Pd", "Pd", "Pd", "Pd", "Pd", "Pd", "Pb", "Pb"],
  "fractional_positions": [[0.909, 0.909, 0.909], [0.091, 0.091, 0.091], [0.000, 0.500, 0.000], [0.000, 0.000, 0.500], [0.500, 0.000, 0.000], [0.317, 0.000, 0.683], [0.683, 0.317, 0.000], [0.000, 0.683, 0.317], [0.317, 0.683, 0.000], [0.000, 0.317, 0.683], [0.683, 0.000, 0.317], [0.338, 0.839, 0.338], [0.338, 0.338, 0.839], [0.839, 0.338, 0.338], [0.662, 0.161, 0.662], [0.662, 0.662, 0.161], [0.161, 0.662, 0.662], [0.666, 0.666, 0.666], [0.334, 0.334, 0.334]]
}

{
  "formula": "CuPd12Pb6",
  "functional": "GGA-PBE",
  "state": "relaxed",
  "e_form_ev_per_atom": -0.189,
  "sg": "R-3",
  "total_energy_ev_per_atom": -4.86,
  "rho_g_cm3": 11.80,
  "n_ef_per_ev_atom": 0.431,
  "cell": [[-4.913, -5.767, -0.119], [2.146, 1.206, -7.166], [6.126, -2.410, 3.752]],
  "species": ["Cu", "Pd", "Pd", "Pd", "Pd", "Pd", "Pd", "Pd", "Pd", "Pd", "Pd", "Pd", "Pd", "Pb", "Pb", "Pb", "Pb", "Pb", "Pb"],
  "fractional_positions": [[0.000, 0.000, 0.000], [0.820, 0.519, 0.394], [0.394, 0.820, 0.519], [0.519, 0.394, 0.820], [0.180, 0.481, 0.606], [0.606, 0.180, 0.481], [0.481, 0.606, 0.180], [0.881, 0.734, 0.155], [0.266, 0.845, 0.119], [0.845, 0.119, 0.266], [0.119, 0.266, 0.845], [0.734, 0.155, 0.881], [0.155, 0.881, 0.734], [0.786, 0.905, 0.535], [0.465, 0.214, 0.095], [0.095, 0.465, 0.214], [0.214, 0.095, 0.465], [0.535, 0.786, 0.905], [0.905, 0.535, 0.786]]
}

{
  "formula": "CuPdPb2",
  "functional": "GGA-PBE",
  "state": "relaxed",
  "e_form_ev_per_atom": 0.202,
  "sg": "I-42d",
  "total_energy_ev_per_atom": -3.97,
  "rho_g_cm3": 10.47,
  "n_ef_per_ev_atom": 0.539,
  "cell": [[-1.580, -0.024, -7.339], [1.994, -7.226, -0.406], [-2.886, -4.516, -3.204]],
  "species": ["Pb", "Pb", "Pb", "Pb", "Cu", "Cu", "Pd", "Pd"],
  "fractional_positions": [[0.617, 0.125, 0.250], [0.133, 0.625, 0.250], [0.375, 0.383, 0.750], [0.875, 0.867, 0.750], [0.500, 0.500, 0.000], [0.250, 0.750, 0.500], [0.000, 0.000, 0.000], [0.750, 0.250, 0.500]]
}

{
  "formula": "CuPd6Pb2",
  "functional": "GGA-PBE",
  "state": "relaxed",
  "e_form_ev_per_atom": -0.120,
  "sg": "C2/m",
  "total_energy_ev_per_atom": -4.86,
  "rho_g_cm3": 11.38,
  "n_ef_per_ev_atom": 0.339,
  "cell": [[6.202, -0.689, -0.399], [-0.626, 5.466, -0.154], [-0.626, 2.590, 4.816]],
  "species": ["Cu", "Pd", "Pd", "Pd", "Pd", "Pd", "Pd", "Pb", "Pb"],
  "fractional_positions": [[0.000, 0.000, 0.000], [0.356, 0.349, 0.852], [0.248, 0.824, 0.824], [0.356, 0.852, 0.349], [0.644, 0.651, 0.148], [0.752, 0.176, 0.176], [0.644, 0.148, 0.651], [0.802, 0.667, 0.667], [0.198, 0.333, 0.333]]
}